Density functional theory data (GGA+U) for a geometry-optimized Ta2CrO6 structure.

Results
VASP energy ... -0.6860 Ry per atom
Space group ... C2/m (12)
V ... 13.00 A^3/atom
Excess energy over the best structure of this formula in the dataset ... 0.0173 eV/atom

Cell lengths 3.827, 5.339, 6.762 Å; angles 66.92, 73.56, 69.00 degrees
Atoms (fractional coordinates):
O 0.302 0.327 0.068
O 0.984 0.827 0.205
O 0.698 0.673 0.932
O 0.016 0.173 0.795
O 0.655 0.291 0.400
O 0.345 0.709 0.600
Cr 0.000 0.500 0.500
Ta 0.818 0.224 0.139
Ta 0.182 0.776 0.861